Computed, not measured: a geometry-optimized LiLa2Br structure at the PBE level of DFT.

Output
For the density of states at the Fermi level, the calculation gives 1.28 states/eV per atom. Its total magnetic moment is 0.0 μB per formula unit. The formation energy from raw total energies comes out at -0.3014 eV/atom. Its energy is -3.66 eV per atom. The volume is 118.35 Å³/cell.

Unit cell a=3.7683 b=5.2612 c=5.9694 alpha=90.00 beta=90.00 gamma=90.00
Closest atoms and distances in Å follow each position.
Sites, in units of the cell vectors:
Li 0.0000 0.0000 0.0000  4 La 3.24, 4 Br 3.53
La 0.0000 0.5000 0.5000  4 Br 3.24, 4 La 3.53
La 0.5000 0.5000 0.0000  4 Li 3.24, 4 La 3.53
Br 0.5000 0.0000 0.5000  4 La 3.24, 4 Li 3.53


Computed, not measured: a geometry-optimized InAg6Hg structure at the PBE level of DFT.

Output
The value obtained for the formation energy is 0.008 eV/atom. For the density of states at the Fermi level, the calculation gives 0.33 states/eV per atom. Its total magnetic moment is 0.0 μB per formula unit. Its energy is -2.51 eV per atom. The volume is 151.64 Å³/cell.

Unit cell a=4.8874 b=5.9063 c=5.9063 alpha=62.80 beta=90.00 gamma=90.00
Closest atoms and distances in Å follow each position.
Sites, in units of the cell vectors:
In 0.0000 0.0000 0.0000  12 Ag 2.95-3.08
Ag 0.0000 0.5033 0.5033  8 Ag 2.91-3.00, 2 Hg 3.03, 2 In 3.08
Ag 0.0000 0.5030 0.9959  8 Ag 2.91-3.12, 2 In 2.95-2.96, 2 Hg 3.00
Ag 0.0000 0.9959 0.5030  8 Ag 2.91-3.12, 2 In 2.95-2.96, 2 Hg 3.00
Ag 0.5000 0.3275 0.8238  8 Ag 2.92-3.10, 2 Hg 2.94-2.96, 2 In 2.99
Ag 0.5000 0.8230 0.8230  8 Ag 2.92-2.98, 2 In 3.03, 2 Hg 3.08
Ag 0.5000 0.8238 0.3275  8 Ag 2.92-3.10, 2 Hg 2.94-2.96, 2 In 2.99
Hg 0.5000 0.3259 0.3259  12 Ag 2.94-3.08